[1]
# Fe24Re5, PBEsol geometry, DFT SCAN
# Calculated volume, Å³/f.u.: 317
# VASP energy, eV/cell: -1572.9
# Formation enthalpy at 0 K, kJ/mol of formula units: 399
data_Fe24Re5
_chemical_formula_sum 'Fe48 Re10'
_cell_length_a 8.5868
_cell_length_b 8.5868
_cell_length_c 8.5868
_cell_angle_alpha 90.00
_cell_angle_beta 90.00
_cell_angle_gamma 90.00
_space_group_name_H-M_alt 'I -4 3 m'
_space_group_IT_number 217
_space_group_name_Hall 'I -4 2 3'
loop_
_atom_site_label
_atom_site_type_symbol
_atom_site_fract_x
_atom_site_fract_y
_atom_site_fract_z
_atom_site_occupancy
Fe1 Fe 0.0354 0.3584 0.6416 1
Fe2 Fe 0.0915 0.0915 0.7197 1
Re1 Re 0.0000 0.0000 0.0000 1
Re2 Re 0.1824 0.1824 0.1824 1

---

[2]
# FeRe, PBEsol geometry, DFT SCAN
# Calculated volume, Å³/f.u.: 27
# VASP energy, eV/cell: -346.3
# Formation enthalpy at 0 K, kJ/mol of formula units: 256
data_FeRe
_chemical_formula_sum 'Fe4 Re4'
_cell_length_a 4.7715
_cell_length_b 4.7715
_cell_length_c 4.7715
_cell_angle_alpha 90.00
_cell_angle_beta 90.00
_cell_angle_gamma 90.00
_space_group_name_H-M_alt 'F m -3 m'
_space_group_IT_number 225
_space_group_name_Hall '-F 4 2 3'
loop_
_atom_site_label
_atom_site_type_symbol
_atom_site_fract_x
_atom_site_fract_y
_atom_site_fract_z
_atom_site_occupancy
Fe1 Fe 0.0000 0.0000 0.0000 1
Re1 Re 0.0000 0.0000 0.5000 1